1.
# ZrScPaIn (PBE, optimized geometry)
# Density of states at the Fermi level, states/eV/f.u.: 5.78
# VASP energy, eV for the cell shown: -108.23
data_ZrScPaIn
_symmetry_space_group_name_H-M 'F -4 3 m'
_symmetry_Int_Tables_number 216
_symmetry_space_group_name_Hall 'F -4 2 3'
_cell_length_a 7.186
_cell_length_b 7.186
_cell_length_c 7.186
_cell_angle_alpha 90.00
_cell_angle_beta 90.00
_cell_angle_gamma 90.00
loop_
_atom_site_label
_atom_site_fract_x
_atom_site_fract_y
_atom_site_fract_z
Zr1 0.000 0.000 0.000
Sc1 0.000 0.000 0.500
Pa1 0.250 0.250 0.750
In1 0.250 0.250 0.250

2.
# TiTc3O (PBE, optimized geometry)
# Density of states at the Fermi level, states/eV/f.u.: 5.92
# VASP energy, eV for the cell shown: -33.56
data_TiTc3O
_symmetry_space_group_name_H-M 'P m -3 m'
_symmetry_Int_Tables_number 221
_symmetry_space_group_name_Hall '-P 4 2 3'
_cell_length_a 4.542
_cell_length_b 4.542
_cell_length_c 4.542
_cell_angle_alpha 90.00
_cell_angle_beta 90.00
_cell_angle_gamma 90.00
loop_
_atom_site_label
_atom_site_fract_x
_atom_site_fract_y
_atom_site_fract_z
Ti1 0.000 0.000 0.000
Tc1 0.000 0.000 0.500
O1 0.500 0.500 0.500

3.
# LiICl2 (PBE, optimized geometry)
# Density of states at the Fermi level, states/eV/f.u.: 1.29
# VASP energy, eV for the cell shown: -26.04
data_LiICl2
_symmetry_space_group_name_H-M 'R -3 m'
_symmetry_Int_Tables_number 166
_symmetry_space_group_name_Hall '-R 3 2"'
_cell_length_a 4.0931
_cell_length_b 4.0931
_cell_length_c 27.3989
_cell_angle_alpha 90.00
_cell_angle_beta 90.00
_cell_angle_gamma 120.00
loop_
_atom_site_label
_atom_site_fract_x
_atom_site_fract_y
_atom_site_fract_z
Li1 0.0000 0.0000 0.0000
I1 0.0000 0.0000 0.5000
Cl1 0.0000 0.0000 0.0796